(1)
The following is a DFT calculation (PBE) of a relaxed structure of Cu5Ag4.

Energy relative to the elements (eV per atom): 0.097
Space-group type: No. 8
Volume (Å³/cell): 131
E above lowest polymorph (meV/atom): 56.7

Lattice parameters (Å, degrees): 4.7645 4.7645 11.2459 112.27 112.27 33.83
With the nearest neighbours (Å) after each atom.
Fractional coordinates of all 9 atoms:
Cu  0.0000  0.0000  0.0000  6 Cu 2.62-2.77, 5 Ag 2.65-2.71
Cu  0.2354  0.2354  0.8810  6 Cu 2.58-2.77, 5 Ag 2.66-2.73
Cu  0.5582  0.5582  0.2116  4 Cu 2.62-2.77, 8 Ag 2.75-2.91
Cu  0.6730  0.6730  0.6735  6 Cu 2.58-2.77, 5 Ag 2.70-2.75
Cu  0.9113  0.9113  0.5643  5 Cu 2.61-2.89, 7 Ag 2.69-2.79
Ag  0.1309  0.1309  0.4557  7 Cu 2.71-2.91, 5 Ag 2.75-2.83
Ag  0.3382  0.3382  0.3322  5 Cu 2.75-2.83, 7 Ag 2.75-2.85
Ag  0.4554  0.4554  0.7810  10 Cu 2.66-2.75, 2 Ag 2.77
Ag  0.7770  0.7770  0.0961  8 Cu 2.65-2.78, 4 Ag 2.77-2.85

(2)
The following is a DFT calculation (PBE) of a relaxed structure of CoH3.

Magnetic moment (μB per cell): 0.00
Space-group type: No. 225
Volume (Å³/cell): 18
E above lowest polymorph (meV/atom): 246.2

Lattice parameters (Å, degrees): 2.9227 2.9227 2.9227 60.00 60.00 60.00
With the nearest neighbours (Å) after each atom.
Fractional coordinates of all 4 atoms:
Co  0.0000  0.0000  0.0000  8 H 1.79
H  0.2500  0.2500  0.2500  4 H 1.79, 4 Co 1.79
H  0.5000  0.5000  0.5000  8 H 1.79
H  0.7500  0.7500  0.7500  4 H 1.79, 4 Co 1.79

(3)
The following is a DFT calculation (PBE) of a relaxed structure of SrBMo.

Magnetic moment (μB per cell): 3.03
Space-group type: No. 216
Volume (Å³/cell): 73
E above lowest polymorph (meV/atom): 1135.2

Lattice parameters (Å, degrees): 4.6947 4.6947 4.6947 60.00 60.00 60.00
With the nearest neighbours (Å) after each atom.
Fractional coordinates of all 3 atoms:
Sr  0.0000  0.0000  0.0000  4 Mo 2.87, 4 B 2.87
B  0.7500  0.7500  0.7500  4 Sr 2.87
Mo  0.2500  0.2500  0.2500  4 Sr 2.87

(4)
The following is a DFT calculation (PBE) of a relaxed structure of Al2Tc3P3.

Magnetic moment (μB per cell): 0.95
VASP energy (eV per atom): -6.944
Space-group type: No. 71
Volume (Å³/cell): 122

Lattice parameters (Å, degrees): 10.4507 10.4507 10.4507 163.02 158.60 27.44
With the nearest neighbours (Å) after each atom.
Fractional coordinates of all 8 atoms:
Al  0.1150  0.1150  0.0000  1 P 2.33
Al  0.8850  0.8850  0.0000  1 P 2.33
Tc  0.3276  0.3276  0.0000  4 P 2.35-2.38
Tc  0.5000  0.5000  0.0000  4 P 2.48
Tc  0.6724  0.6724  0.0000  4 P 2.35-2.38
P  0.0000  0.0000  0.0000  2 Al 2.33, 4 Tc 2.48
P  0.2401  0.7401  0.5000  4 Tc 2.35-2.38, 4 P 2.51
P  0.7599  0.2599  0.5000  4 Tc 2.35-2.38, 4 P 2.51

(5)
The following is a DFT calculation (PBE) of a relaxed structure of CsHfAuSe3.

Magnetic moment (μB per cell): 0.02
VASP energy (eV per atom): -5.069
Space-group type: No. 62
Volume (Å³/cell): 695

Lattice parameters (Å, degrees): 14.5417 4.0053 11.9270 90.00 90.00 90.00
With the nearest neighbours (Å) after each atom.
Fractional coordinates of all 24 atoms:
Cs  0.1578  0.2500  0.0064  8 Se 3.60-3.95, 3 Au 3.61-3.69, 2 Cs 4.01
Cs  0.3422  0.7500  0.5064  8 Se 3.60-3.95, 3 Au 3.61-3.69, 2 Cs 4.01
Cs  0.6578  0.2500  0.4936  8 Se 3.60-3.95, 3 Au 3.61-3.69, 2 Cs 4.01
Cs  0.8422  0.7500  0.9936  8 Se 3.60-3.95, 3 Au 3.61-3.69, 2 Cs 4.01
Hf  0.0413  0.7500  0.6361  6 Se 2.59-2.74
Hf  0.4587  0.2500  0.1361  6 Se 2.59-2.74
Hf  0.5413  0.7500  0.8639  6 Se 2.59-2.74
Hf  0.9587  0.2500  0.3639  6 Se 2.59-2.74
Au  0.1969  0.7500  0.2532  3 Se 2.50-2.60
Au  0.3031  0.2500  0.7532  3 Se 2.50-2.60
Au  0.6969  0.7500  0.2468  3 Se 2.50-2.60
Au  0.8031  0.2500  0.7468  3 Se 2.50-2.60
Se  0.0259  0.7500  0.2298  1 Au 2.50, 2 Hf 2.74
Se  0.1080  0.2500  0.5046  3 Hf 2.72-2.74
Se  0.1888  0.7500  0.7583  1 Hf 2.59, 2 Au 2.60
Se  0.3112  0.2500  0.2583  1 Hf 2.59, 2 Au 2.60
Se  0.3920  0.7500  0.0046  3 Hf 2.72-2.74
Se  0.4741  0.2500  0.7298  1 Au 2.50, 2 Hf 2.74
Se  0.5259  0.7500  0.2702  1 Au 2.50, 2 Hf 2.74
Se  0.6080  0.2500  0.9954  3 Hf 2.72-2.74
Se  0.6888  0.7500  0.7417  1 Hf 2.59, 2 Au 2.60
Se  0.8112  0.2500  0.2417  1 Hf 2.59, 2 Au 2.60
Se  0.8920  0.7500  0.4954  3 Hf 2.72-2.74
Se  0.9741  0.2500  0.7702  1 Au 2.50, 2 Hf 2.74

(6)
The following is a DFT calculation (PBE) of a relaxed structure of TcGeTe.

Magnetic moment (μB per cell): 0.05
Space-group type: No. 216
Volume (Å³/cell): 62
E above lowest polymorph (meV/atom): 0.0

Lattice parameters (Å, degrees): 4.4376 4.4376 4.4376 60.00 60.00 60.00
With the nearest neighbours (Å) after each atom.
Fractional coordinates of all 3 atoms:
Tc  0.0000  0.0000  0.0000  4 Ge 2.72, 4 Te 2.72
Ge  0.7500  0.7500  0.7500  4 Tc 2.72
Te  0.2500  0.2500  0.2500  4 Tc 2.72